# 1
# Pa3HgH4O12 PBE optimized geometry
data_Pa3HgH4O12
_chemical_formula_sum 'Pa9 Hg3 H12 O36'
_cell_length_a 10.2328
_cell_length_b 10.2328
_cell_length_c 8.3549
_cell_angle_alpha 90.00
_cell_angle_beta 90.00
_cell_angle_gamma 120.00
_symmetry_space_group_name_H-M 'R 3 2'
_symmetry_Int_Tables_number 155
_symmetry_space_group_name_Hall 'R 3 2"'
loop_
_atom_site_label
_atom_site_fract_x
_atom_site_fract_y
_atom_site_fract_z
Pa1 0.0000 0.5399 0.0000
Hg1 0.0000 0.0000 0.0000
H1 0.0000 0.0000 0.5000
H2 0.0000 0.3996 0.5000
O1 0.0000 0.6175 0.5000
O2 0.0000 0.8628 0.5000
O3 0.0156 0.2113 0.1823
# DFT total energy = -6.89 eV/atom
# DOS at the Fermi energy = 0.76 states/eV per atom

# 2
# Er6Hg8Pb PBE optimized geometry
data_Er6Hg8Pb
_chemical_formula_sum 'Er18 Hg24 Pb3'
_cell_length_a 8.6951
_cell_length_b 8.6951
_cell_length_c 18.7819
_cell_angle_alpha 90.00
_cell_angle_beta 90.00
_cell_angle_gamma 120.00
_symmetry_space_group_name_H-M 'R -3'
_symmetry_Int_Tables_number 148
_symmetry_space_group_name_Hall '-R 3'
loop_
_atom_site_label
_atom_site_fract_x
_atom_site_fract_y
_atom_site_fract_z
Er1 0.0091 0.7208 0.1025
Hg1 0.0000 0.0000 0.1980
Hg2 0.0078 0.6328 0.9455
Pb1 0.0000 0.0000 0.5000
# DFT total energy = -2.56 eV/atom
# DOS at the Fermi energy = 0.60 states/eV per atom

# 3
# Ca2Pb3Au PBE optimized geometry
data_Ca2Pb3Au
_chemical_formula_sum 'Ca2 Pb3 Au1'
_cell_length_a 3.639
_cell_length_b 4.873
_cell_length_c 9.842
_cell_angle_alpha 90.00
_cell_angle_beta 90.00
_cell_angle_gamma 90.00
_symmetry_space_group_name_H-M 'P m m 2'
_symmetry_Int_Tables_number 25
_symmetry_space_group_name_Hall 'P 2 -2'
loop_
_atom_site_label
_atom_site_fract_x
_atom_site_fract_y
_atom_site_fract_z
Ca1 0.000 0.000 0.000
Ca2 0.000 0.500 0.437
Pb1 0.500 0.000 0.601
Pb2 0.500 0.500 0.147
Pb3 0.500 0.500 0.808
Au1 0.500 0.000 0.303
# DFT total energy = -3.46 eV/atom
# DOS at the Fermi energy = 0.62 states/eV per atom

# 4
# Cs3TlFe2Cl8 PBE optimized geometry
data_Cs3TlFe2Cl8
_chemical_formula_sum 'Cs3 Tl1 Fe2 Cl8'
_cell_length_a 7.7627
_cell_length_b 7.7627
_cell_length_c 9.8852
_cell_angle_alpha 90.00
_cell_angle_beta 90.00
_cell_angle_gamma 120.00
_symmetry_space_group_name_H-M 'P -3 m 1'
_symmetry_Int_Tables_number 164
_symmetry_space_group_name_Hall '-P 3 2"'
loop_
_atom_site_label
_atom_site_fract_x
_atom_site_fract_y
_atom_site_fract_z
Cs1 0.0000 0.0000 0.0000
Cs2 0.3333 0.6667 0.6387
Tl1 0.0000 0.0000 0.5000
Fe1 0.3333 0.6667 0.2037
Cl1 0.1762 0.3523 0.2984
Cl2 0.3333 0.6667 0.9769
# formation energy from raw total energies = -1.32 eV/atom
# DOS at the Fermi energy = 0.96 states/eV per atom

# 5
# MnPbCl PBE optimized geometry
data_MnPbCl
_chemical_formula_sum 'Mn1 Pb1 Cl1'
_cell_length_a 3.4733
_cell_length_b 3.4733
_cell_length_c 7.5948
_cell_angle_alpha 90.00
_cell_angle_beta 90.00
_cell_angle_gamma 120.00
_symmetry_space_group_name_H-M 'P 3 m 1'
_symmetry_Int_Tables_number 156
_symmetry_space_group_name_Hall 'P 3 -2"'
loop_
_atom_site_label
_atom_site_fract_x
_atom_site_fract_y
_atom_site_fract_z
Mn1 0.0000 0.0000 0.0000
Pb1 0.6667 0.3333 0.3042
Cl1 0.3333 0.6667 0.8081
# energy relative to the lowest polymorph listed for this composition = 0.000 eV per atom
# formation energy from raw total energies = -0.28 eV/atom
# DOS at the Fermi energy = 0.14 states/eV per atom

| no. | ρ (Mg/m³) |
| --- | --- |
| 1 | 7.2 |
| 2 | 11.4 |
| 3 | 8.6 |
| 4 | 3.2 |
| 5 | 6.2 |